{"formula": "Ga3Ge3Bi", "functional": "PBE", "state": "optimized geometry", "vol_a3_per_atom": 25.30, "sg": "Pm-3n (223)", "delta_e_f_ev_per_atom": 0.3634, "cell": [[7.0758, 0.0000, 0.0000], [0.0000, 7.0758, 0.0000], [0.0000, 0.0000, 7.0758]], "species": ["Ga", "Ga", "Ga", "Ga", "Ga", "Ga", "Ge", "Ge", "Ge", "Ge", "Ge", "Ge", "Bi", "Bi"], "fractional_positions": [[0.0000, 0.2500, 0.5000], [0.0000, 0.7500, 0.5000], [0.2500, 0.5000, 0.0000], [0.5000, 0.0000, 0.2500], [0.5000, 0.0000, 0.7500], [0.7500, 0.5000, 0.0000], [0.0000, 0.5000, 0.2500], [0.0000, 0.5000, 0.7500], [0.2500, 0.0000, 0.5000], [0.5000, 0.2500, 0.0000], [0.5000, 0.7500, 0.0000], [0.7500, 0.0000, 0.5000], [0.0000, 0.0000, 0.0000], [0.5000, 0.5000, 0.5000]]}